A plane-wave DFT calculation with PBE was carried out for an optimized crystal structure of Ca3TeF.

Calculated values
The energy relative to the lowest polymorph listed for this composition is 0.000 eV per atom. As for the total magnetization: 0.048 μB per atom.

Cell lengths 5.1349, 5.1349, 5.1349 Å; angles 90.00, 90.00, 90.00 degrees
Last column: nearest neighbours and their distance in Å.
Element x y z (fractional)
Ca 0.0000 0.0000 0.5000  2 F 2.57
Ca 0.0000 0.5000 0.0000  2 F 2.57
Ca 0.5000 0.0000 0.0000  2 F 2.57
Te 0.5000 0.5000 0.5000  12 Ca 3.63
F 0.0000 0.0000 0.0000  6 Ca 2.57

A plane-wave DFT calculation with PBE was carried out for an optimized crystal structure of Cs2CoCl5.

Calculated values
As for the total magnetization: 0.250 μB per atom.

Cell lengths 7.2834, 7.2834, 7.2834 Å; angles 117.66, 117.66, 94.10 degrees
Last column: nearest neighbours and their distance in Å.
Element x y z (fractional)
Cs 0.0000 0.5000 0.5000  10 Cl 3.65-3.77
Cs 0.5000 0.0000 0.5000  10 Cl 3.65-3.77
Co 0.2843 0.2843 0.0000  5 Cl 2.24-2.28
Cl 0.0396 0.0396 0.5846  1 Co 2.24
Cl 0.0396 0.4550 0.0000  1 Co 2.24
Cl 0.4550 0.0396 0.0000  1 Co 2.24
Cl 0.4550 0.4550 0.4154  1 Co 2.24
Cl 0.5141 0.5141 0.0000  1 Co 2.28

A plane-wave DFT calculation with PBE was carried out for an optimized crystal structure of RbOsSe3.

Calculated values
The energy relative to the lowest polymorph listed for this composition is 2.248 eV per atom. As for the total magnetization: 0.684 μB per atom.

Cell lengths 5.7136, 5.7136, 5.7136 Å; angles 90.00, 90.00, 90.00 degrees
Last column: nearest neighbours and their distance in Å.
Element x y z (fractional)
Rb 0.0000 0.0000 0.0000  6 Se 2.86
Os 0.5000 0.5000 0.5000  12 Se 4.04
Se 0.0000 0.0000 0.5000  2 Rb 2.86
Se 0.0000 0.5000 0.0000  2 Rb 2.86
Se 0.5000 0.0000 0.0000  2 Rb 2.86

A plane-wave DFT calculation with PBE was carried out for an optimized crystal structure of Na3PuTl2O6.

Calculated values
As for the total magnetization: 0.083 μB per atom.

Cell lengths 6.7320, 6.7320, 5.8635 Å; angles 99.86, 99.86, 123.80 degrees
Last column: nearest neighbours and their distance in Å.
Element x y z (fractional)
Na 0.0000 0.0000 0.0000  4 O 2.45
Na 0.3627 0.6373 0.0000  4 O 2.36-2.39
Na 0.6373 0.3627 0.0000  4 O 2.36-2.39
Pu 0.5000 0.5000 0.5000  6 O 2.03-2.06
Tl 0.1685 0.8315 0.5000  6 O 2.71-2.92
Tl 0.8315 0.1685 0.5000  6 O 2.71-2.92
O 0.1854 0.4225 0.2724  1 Pu 2.03
O 0.2954 0.2954 0.7044  1 Pu 2.06
O 0.4225 0.1854 0.2724  1 Pu 2.03
O 0.5775 0.8146 0.7276  1 Pu 2.03
O 0.7046 0.7046 0.2956  1 Pu 2.06
O 0.8146 0.5775 0.7276  1 Pu 2.03

A plane-wave DFT calculation with PBE was carried out for an optimized crystal structure of LaAs2Se.

Calculated values
The energy relative to the lowest polymorph listed for this composition is 0.204 eV per atom. As for the total magnetization: 0.000 μB per atom.

Cell lengths 4.0532, 4.0532, 6.2226 Å; angles 90.00, 90.00, 90.00 degrees
Last column: nearest neighbours and their distance in Å.
Element x y z (fractional)
La 0.0000 0.0000 0.0000  2 As 2.94-3.29, 4 Se 2.98
As 0.0000 0.0000 0.5281  4 As 2.90, 1 La 2.94
As 0.5000 0.5000 0.5976  4 As 2.90, 1 Se 2.92
Se 0.5000 0.5000 0.1289  1 As 2.92, 4 La 2.98

A plane-wave DFT calculation with PBE was carried out for an optimized crystal structure of LaGa3Cl.

Calculated values
The energy relative to the lowest polymorph listed for this composition is 0.615 eV per atom. As for the total magnetization: 0.000 μB per atom.

Cell lengths 5.9740, 5.9740, 5.9740 Å; angles 90.00, 90.00, 90.00 degrees
Last column: nearest neighbours and their distance in Å.
Element x y z (fractional)
La 0.0000 0.0000 0.0000  6 Ga 2.99
Ga 0.0000 0.0000 0.5000  2 La 2.99
Ga 0.0000 0.5000 0.0000  2 La 2.99
Ga 0.5000 0.0000 0.0000  2 La 2.99
Cl 0.5000 0.5000 0.5000  12 Ga 4.22

Number 1: formation energy from raw total energies -1261 meV per atom. Number 2: formation energy from raw total energies -1289 meV per atom. Number 3: formation energy from raw total energies 2302 meV per atom. Number 4: formation energy from raw total energies -1684 meV per atom. Number 5: formation energy from raw total energies -780 meV per atom. Number 6: formation energy from raw total energies 570 meV per atom.